Below is a relaxed BaCo crystal, with properties calculated at the PBE level.

Summary:
crystal system	monoclinic
DFT formation energy	0.403	eV per atom
total energy	-4.111	eV/atom
magnetic moment	1.1	μB per formula unit
calculated volume	32.95	Å³/atom

Unit cell a=12.186 b=4.089 c=8.820 alpha=90.00 beta=115.90 gamma=90.00
Space group Cm (No. 8)
Asymmetric unit:
Ba  0.000  0.000  0.000 x2
Ba  0.148  0.000  0.648 x2
Ba  0.346  0.000  0.304 x2
Co  0.156  0.500  0.358 x2
Co  0.338  0.500  0.580 x2
Co  0.421  0.000  0.682 x2